(1)
{"formula": "NaTcGe", "functional": "PBE", "state": "relaxed", "e_above_lowest_polymorph_mev_per_atom": 842, "spacegroup": "F-43m (216)", "lattice": [[0.000, 3.141, 3.141], [3.141, 0.000, 3.141], [3.141, 3.141, 0.000]], "species": ["Na", "Tc", "Ge"], "fractional_positions": [[0.000, 0.000, 0.000], [0.250, 0.250, 0.250], [0.750, 0.750, 0.750]]}

(2)
{"formula": "Na2Lu", "functional": "PBE", "state": "relaxed", "e_above_lowest_polymorph_mev_per_atom": 9, "spacegroup": "Fd-3m (227)", "lattice": [[0.000, 4.406, 4.406], [4.406, 0.000, 4.406], [4.406, 4.406, 0.000]], "species": ["Na", "Na", "Na", "Na", "Lu", "Lu"], "fractional_positions": [[0.000, 0.000, 0.000], [0.000, 0.000, 0.500], [0.000, 0.500, 0.000], [0.500, 0.000, 0.000], [0.375, 0.375, 0.375], [0.625, 0.625, 0.625]]}

(3)
{"formula": "KLaNiTe3", "functional": "PBE", "state": "relaxed", "e_above_lowest_polymorph_mev_per_atom": 0, "spacegroup": "P2_1/m (11)", "lattice": [[9.800, 0.000, 0.000], [0.000, 4.432, 0.000], [-2.760, 0.000, 9.808]], "species": ["K", "K", "La", "La", "Ni", "Ni", "Te", "Te", "Te", "Te", "Te", "Te"], "fractional_positions": [[0.210, 0.250, 0.251], [0.790, 0.750, 0.749], [0.318, 0.750, 0.858], [0.682, 0.250, 0.142], [0.093, 0.250, 0.611], [0.907, 0.750, 0.389], [0.082, 0.250, 0.858], [0.164, 0.750, 0.526], [0.459, 0.750, 0.181], [0.541, 0.250, 0.819], [0.836, 0.250, 0.474], [0.918, 0.750, 0.142]]}

(4)
{"formula": "RbCu3Te4Pt", "functional": "PBE", "state": "relaxed", "spacegroup": "P-43m (215)", "lattice": [[6.593, 0.000, 0.000], [0.000, 6.593, 0.000], [0.000, 0.000, 6.593]], "species": ["Rb", "Cu", "Cu", "Cu", "Te", "Te", "Te", "Te", "Pt"], "fractional_positions": [[0.000, 0.000, 0.000], [0.000, 0.500, 0.500], [0.500, 0.000, 0.500], [0.500, 0.500, 0.000], [0.278, 0.278, 0.278], [0.278, 0.722, 0.722], [0.722, 0.278, 0.722], [0.722, 0.722, 0.278], [0.500, 0.500, 0.500]]}

Number 1: raw total energy -4.0487 eV per atom. Number 2: raw total energy -2.0072 eV per atom. Number 3: raw total energy -4.4487 eV per atom. Number 4: raw total energy -3.3914 eV per atom.